This record from Alexandria describes a relaxed structure of BeAs2RhSe. The functional is PBE-GGA.

Structure (POSCAR):
```
BeAs2RhSe
1.0
4.316 0.000 0.000
0.000 4.316 0.000
0.000 0.000 4.635
Se Be As Rh
1 1 2 1
Direct
0.000 0.000 0.500 Se
0.000 0.000 0.000 Be
0.000 0.500 0.000 As
0.500 0.000 0.000 As
0.500 0.500 0.500 Rh
```

## Properties
Its polymorph energy (0 for the lowest one) is 0.0 kJ/mol of atoms. The calculation puts the total energy at -4.2082 eV per atom. For the uncorrected formation energy, the calculation gives 13.01 kcal/mol of atoms. The density of states at the Fermi level is 2.646 states/eV per cell. The crystal system is tetragonal.

This record from Alexandria describes a relaxed structure of BeTcAsRh. The functional is PBE-GGA.

Structure (POSCAR):
```
BeTcAsRh
1.0
4.163 0.000 0.000
2.081 3.605 0.000
2.081 1.202 3.399
Rh Be Tc As
1 1 1 1
Direct
0.000 0.000 0.000 Rh
0.250 0.250 0.250 Be
0.500 0.500 0.500 Tc
0.750 0.750 0.750 As
```

## Properties
For the energy of formation, the calculation gives -1.04 eV/f.u. The calculation puts the total energy at -6.7839 eV per atom. The density of states at the Fermi level is 1.545 states/eV per cell. The crystal system is cubic.

This record from Alexandria describes a relaxed structure of Th2BeAsRh6. The functional is PBE-GGA.

Structure (POSCAR):
```
Th2BeAsRh6
1.0
-1.518 1.521 3.946
-4.208 -0.125 -1.570
-0.836 -8.381 2.910
Rh As Be Th
6 1 1 2
Direct
0.500 0.500 0.737 Rh
0.500 0.000 0.500 Rh
0.000 0.500 0.000 Rh
0.000 0.500 0.500 Rh
0.500 0.500 0.263 Rh
0.500 0.000 0.000 Rh
0.500 0.500 0.000 As
0.500 0.500 0.500 Be
0.000 0.000 0.732 Th
0.000 0.000 0.268 Th
```

## Properties
For the energy of formation, the calculation gives -5.93 eV/f.u. The calculation puts the total energy at -7.3259 eV per atom. The density of states at the Fermi level is 5.814 states/eV per cell. The crystal system is tetragonal.

This record from Alexandria describes a relaxed structure of BeAsRu2. The functional is PBE-GGA.

Structure (POSCAR):
```
BeAsRu2
1.0
4.666 0.004 0.000
1.390 4.454 0.000
-2.355 -3.144 2.518
Ru Be As
2 1 1
Direct
0.972 0.972 0.000 Ru
0.528 0.528 0.000 Ru
0.750 0.250 0.500 Be
0.250 0.750 0.500 As
```

## Properties
Its polymorph energy (0 for the lowest one) is 29.1 kJ/mol of atoms. For the energy of formation, the calculation gives 0.22 eV/f.u. The calculation puts the total energy at -6.6758 eV per atom. The density of states at the Fermi level is 3.145 states/eV per cell. The crystal system is orthorhombic.

This record from Alexandria describes a relaxed structure of BeAsRu2. The functional is PBE-GGA.

Structure (POSCAR):
```
BeAsRu2
1.0
-0.486 7.932 -1.101
-3.216 7.236 -1.289
-2.038 7.660 1.242
Be Ru As
1 2 1
Direct
0.747 0.747 0.747 Be
0.006 0.006 0.006 Ru
0.249 0.249 0.249 Ru
0.498 0.498 0.498 As
```

## Properties
Its polymorph energy (0 for the lowest one) is 39.8 kJ/mol of atoms. For the energy of formation, the calculation gives 0.67 eV/f.u. The calculation puts the total energy at -6.5656 eV per atom. The density of states at the Fermi level is 3.319 states/eV per cell. The crystal system is trigonal.

This record from Alexandria describes a relaxed structure of BeAsRu2. The functional is PBE-GGA.

Structure (POSCAR):
```
BeAsRu2
1.0
-2.051 -2.337 6.237
-2.989 -4.516 4.387
-0.135 -4.476 5.340
Ru Be As
2 1 1
Direct
0.491 0.491 0.491 Ru
0.009 0.009 0.009 Ru
0.750 0.750 0.750 Be
0.250 0.250 0.250 As
```

## Properties
Its polymorph energy (0 for the lowest one) is 28.3 kJ/mol of atoms. For the energy of formation, the calculation gives 0.19 eV/f.u. The calculation puts the total energy at -6.6841 eV per atom. The density of states at the Fermi level is 4.494 states/eV per cell. The crystal system is trigonal.

This record from Alexandria describes a relaxed structure of BeAsRu2. The functional is PBE-GGA.

Structure (POSCAR):
```
BeAsRu2
1.0
-4.069 0.799 4.186
2.730 -4.203 -3.098
5.571 -0.631 -1.813
Be Ru As
1 2 1
Direct
0.000 0.000 0.000 Be
0.000 0.204 0.204 Ru
0.000 0.796 0.796 Ru
0.000 0.500 0.500 As
```

## Properties
Its polymorph energy (0 for the lowest one) is 72.4 kJ/mol of atoms. For the energy of formation, the calculation gives 2.02 eV/f.u. The calculation puts the total energy at -6.2269 eV per atom. The density of states at the Fermi level is 3.148 states/eV per cell. The crystal system is orthorhombic.

This record from Alexandria describes a relaxed structure of BeAsRu2. The functional is PBE-GGA.

Structure (POSCAR):
```
BeAsRu2
1.0
2.755 -0.002 0.000
-1.272 2.444 0.000
0.000 0.000 8.310
Ru Be As
2 1 1
Direct
0.500 0.500 0.250 Ru
0.000 0.000 0.978 Ru
0.500 0.500 0.767 Be
0.000 0.000 0.504 As
```

## Properties
Its polymorph energy (0 for the lowest one) is 61.8 kJ/mol of atoms. For the energy of formation, the calculation gives 1.58 eV/f.u. The calculation puts the total energy at -6.3375 eV per atom. The density of states at the Fermi level is 4.150 states/eV per cell. The crystal system is orthorhombic.

This record from Alexandria describes a relaxed structure of BeAsRu2. The functional is PBE-GGA.

Structure (POSCAR):
```
BeAsRu2
1.0
-2.749 -0.365 -2.716
1.900 -1.191 -1.763
-1.128 -4.459 1.741
Be Ru As
1 2 1
Direct
0.500 0.750 0.750 Be
0.000 0.012 0.982 Ru
0.000 0.488 0.518 Ru
0.500 0.250 0.250 As
```

## Properties
Its polymorph energy (0 for the lowest one) is 33.1 kJ/mol of atoms. For the energy of formation, the calculation gives 0.39 eV/f.u. The calculation puts the total energy at -6.6344 eV per atom. The density of states at the Fermi level is 2.601 states/eV per cell. The crystal system is monoclinic.

This record from Alexandria describes a relaxed structure of Be2AsRu. The functional is PBE-GGA.

Structure (POSCAR):
```
Be2AsRu
1.0
4.081 0.000 0.000
2.040 3.534 0.000
2.040 1.178 3.332
Be Ru As
2 1 1
Direct
0.000 0.000 0.000 Be
0.250 0.250 0.250 Be
0.750 0.750 0.750 Ru
0.500 0.500 0.500 As
```

## Properties
For the energy of formation, the calculation gives 0.92 eV/f.u. The calculation puts the total energy at -5.1156 eV per atom. The density of states at the Fermi level is 1.661 states/eV per cell. The crystal system is cubic.

This record from Alexandria describes a relaxed structure of BeAsRu2. The functional is PBE-GGA.

Structure (POSCAR):
```
BeAsRu2
1.0
2.848 0.028 0.000
-1.181 2.592 0.000
0.000 0.000 7.257
As Ru Be
1 2 1
Direct
0.500 0.500 0.250 As
0.000 0.000 0.521 Ru
0.000 0.000 0.979 Ru
0.500 0.500 0.750 Be
```

## Properties
Its polymorph energy (0 for the lowest one) is 44.0 kJ/mol of atoms. For the energy of formation, the calculation gives 0.84 eV/f.u. The calculation puts the total energy at -6.5220 eV per atom. The density of states at the Fermi level is 3.515 states/eV per cell. The crystal system is orthorhombic.

This record from Alexandria describes a relaxed structure of Be2AsRu. The functional is PBE-GGA.

Structure (POSCAR):
```
Be2AsRu
1.0
-0.185 2.728 0.060
-2.039 -1.264 1.313
4.026 0.131 6.382
Ru Be As
1 2 1
Direct
0.500 0.500 0.250 Ru
0.000 0.000 0.027 Be
0.000 0.000 0.473 Be
0.500 0.500 0.750 As
```

## Properties
For the energy of formation, the calculation gives 0.92 eV/f.u. The calculation puts the total energy at -5.1147 eV per atom. The density of states at the Fermi level is 1.387 states/eV per cell. The crystal system is orthorhombic.

This record from Alexandria describes a relaxed structure of BeAsRu2. The functional is PBE-GGA.

Structure (POSCAR):
```
BeAsRu2
1.0
-4.207 0.010 -1.802
-2.556 -1.867 -3.306
-2.079 -3.278 1.808
Ru As Be
2 1 1
Direct
0.249 0.249 0.309 Ru
0.006 0.006 0.920 Ru
0.500 0.500 0.455 As
0.745 0.745 0.816 Be
```

## Properties
Its polymorph energy (0 for the lowest one) is 12.3 kJ/mol of atoms. For the energy of formation, the calculation gives -0.47 eV/f.u. The calculation puts the total energy at -6.8502 eV per atom. The density of states at the Fermi level is 3.218 states/eV per cell. The crystal system is monoclinic.

This record from Alexandria describes a relaxed structure of Be2AsRu. The functional is PBE-GGA.

Structure (POSCAR):
```
Be2AsRu
1.0
3.073 0.000 0.000
0.000 3.073 0.000
0.000 0.000 4.897
Be As Ru
2 1 1
Direct
0.000 0.000 0.480 Be
0.000 0.000 0.020 Be
0.500 0.500 0.750 As
0.500 0.500 0.250 Ru
```

## Properties
For the energy of formation, the calculation gives -0.62 eV/f.u. The calculation puts the total energy at -5.4985 eV per atom. The density of states at the Fermi level is 1.284 states/eV per cell. The crystal system is tetragonal.

This record from Alexandria describes a relaxed structure of Be2AsRu. The functional is PBE-GGA.

Structure (POSCAR):
```
Be2AsRu
1.0
-1.070 2.476 -3.568
0.594 -2.252 -3.818
-2.125 -0.948 3.820
Be As Ru
2 1 1
Direct
0.500 0.500 0.000 Be
0.000 0.000 0.000 Be
0.250 0.750 0.500 As
0.750 0.250 0.500 Ru
```

## Properties
For the energy of formation, the calculation gives -0.05 eV/f.u. The calculation puts the total energy at -5.3574 eV per atom. The density of states at the Fermi level is 1.491 states/eV per cell. The crystal system is tetragonal.